Record 1
The following is a DFT calculation (PBE) of crystalline Tb5PmHo6 at its relaxed geometry.

Results
**Energy above the most stable polymorph in this dataset**: 0.00 eV per formula unit
**Volume**: 31.5 Å³ per atom

```
data_Tb5PmHo6
_chemical_formula_sum 'Tb10 Pm2 Ho12'
_cell_length_a 6.150
_cell_length_b 10.643
_cell_length_c 11.746
_cell_angle_alpha 90.00
_cell_angle_beta 99.99
_cell_angle_gamma 90.00
_space_group_name_H-M_alt 'C 1 2/m 1'
_space_group_IT_number 12
loop_
_space_group_symop_operation_xyz
'x,y,z'
'-x,-y,-z'
'-x,y,-z'
'x,-y,z'
'x+1/2,y+1/2,z'
'-x+1/2,-y+1/2,-z'
'-x+1/2,y+1/2,-z'
'x+1/2,-y+1/2,z'
loop_
_atom_site_label
_atom_site_type_symbol
_atom_site_fract_x
_atom_site_fract_y
_atom_site_fract_z
Tb1 Tb 0.000 0.000 0.000
Tb2 Tb 0.000 0.167 0.500
Tb3 Tb 0.000 0.333 0.000
Pm1 Pm 0.000 0.500 0.500
Ho1 Ho 0.250 0.000 0.751
Ho2 Ho 0.250 0.167 0.249
```


Record 2
The following is a DFT calculation (PBE) of crystalline Tb2PmHo at its relaxed geometry.

Results
**Energy above the most stable polymorph in this dataset**: 0.01 eV per formula unit
**Volume**: 32.3 Å³ per atom

```
data_Tb2PmHo
_chemical_formula_sum 'Tb4 Pm2 Ho2'
_cell_length_a 5.059
_cell_length_b 5.059
_cell_length_c 10.089
_cell_angle_alpha 90.00
_cell_angle_beta 90.00
_cell_angle_gamma 90.00
_space_group_name_H-M_alt 'I -4 m 2'
_space_group_IT_number 119
_space_group_name_Hall 'I -4 -2'
loop_
_atom_site_label
_atom_site_type_symbol
_atom_site_fract_x
_atom_site_fract_y
_atom_site_fract_z
Tb1 Tb 0.000 0.000 0.000
Tb2 Tb 0.000 0.500 0.250
Pm1 Pm 0.000 0.500 0.750
Ho1 Ho 0.000 0.000 0.500
```


Record 3
The following is a DFT calculation (PBE) of crystalline Tb15Pm4Ho at its relaxed geometry.

Results
**Volume**: 32.4 Å³ per atom

```
data_Tb15Pm4Ho
_chemical_formula_sum 'Tb15 Pm4 Ho1'
_cell_length_a 5.060
_cell_length_b 5.060
_cell_length_c 25.268
_cell_angle_alpha 90.00
_cell_angle_beta 90.00
_cell_angle_gamma 90.00
_space_group_name_H-M_alt 'P 4/m m m'
_space_group_IT_number 123
_space_group_name_Hall '-P 4 2'
loop_
_atom_site_label
_atom_site_type_symbol
_atom_site_fract_x
_atom_site_fract_y
_atom_site_fract_z
Tb1 Tb 0.000 0.000 0.000
Tb2 Tb 0.000 0.000 0.199
Tb3 Tb 0.000 0.000 0.400
Tb4 Tb 0.000 0.500 0.099
Tb5 Tb 0.000 0.500 0.299
Tb6 Tb 0.000 0.500 0.500
Pm1 Pm 0.500 0.500 0.199
Pm2 Pm 0.500 0.500 0.400
Ho1 Ho 0.500 0.500 0.000
```


Record 4
The following is a DFT calculation (PBE) of crystalline Tb15Pm2Ho2 at its relaxed geometry.

Results
**Volume**: 33.5 Å³ per atom

```
data_Tb15Pm2Ho2
_chemical_formula_sum 'Tb45 Pm6 Ho6'
_cell_length_a 11.1118
_cell_length_b 11.1118
_cell_length_c 17.8416
_cell_angle_alpha 90.00
_cell_angle_beta 90.00
_cell_angle_gamma 120.00
_space_group_name_H-M_alt 'R -3 m'
_space_group_IT_number 166
_space_group_name_Hall '-R 3 2"'
loop_
_atom_site_label
_atom_site_type_symbol
_atom_site_fract_x
_atom_site_fract_y
_atom_site_fract_z
Tb1 Tb 0.0000 0.3008 0.0000
Tb2 Tb 0.0000 0.5000 0.5000
Tb3 Tb 0.0181 0.5090 0.1337
Pm1 Pm 0.0000 0.0000 0.0934
Ho1 Ho 0.0000 0.0000 0.3208
```


Record 5
The following is a DFT calculation (PBE) of crystalline Tb3PmHo8 at its relaxed geometry.

Results
**Volume**: 37.6 Å³ per atom

```
data_Tb3PmHo8
_chemical_formula_sum 'Tb6 Pm2 Ho16'
_cell_length_a 7.669
_cell_length_b 7.669
_cell_length_c 15.354
_cell_angle_alpha 90.00
_cell_angle_beta 90.00
_cell_angle_gamma 90.00
_space_group_name_H-M_alt 'I 4/m m m'
_space_group_IT_number 139
_space_group_name_Hall '-I 4 2'
loop_
_atom_site_label
_atom_site_type_symbol
_atom_site_fract_x
_atom_site_fract_y
_atom_site_fract_z
Tb1 Tb 0.000 0.000 0.000
Tb2 Tb 0.000 0.500 0.250
Pm1 Pm 0.000 0.000 0.500
Ho1 Ho 0.249 0.249 0.126
```


Record 6
The following is a DFT calculation (PBE) of crystalline Tb4Pm7Ho at its relaxed geometry.

Results
**Energy above the most stable polymorph in this dataset**: 0.00 eV per formula unit
**Volume**: 33.4 Å³ per atom

```
data_Tb4Pm7Ho
_chemical_formula_sum 'Tb4 Pm7 Ho1'
_cell_length_a 6.309
_cell_length_b 7.277
_cell_length_c 8.989
_cell_angle_alpha 90.00
_cell_angle_beta 103.67
_cell_angle_gamma 90.05
_space_group_name_H-M_alt 'P -1'
_space_group_IT_number 2
loop_
_space_group_symop_operation_xyz
'x,y,z'
'-x,-y,-z'
loop_
_atom_site_label
_atom_site_type_symbol
_atom_site_fract_x
_atom_site_fract_y
_atom_site_fract_z
Tb1 Tb 0.220 0.000 0.166
Tb2 Tb 0.278 0.249 0.832
Pm1 Pm 0.000 0.000 0.500
Pm2 Pm 0.221 0.500 0.166
Pm3 Pm 0.280 0.751 0.834
Pm4 Pm 0.500 0.249 0.501
Ho1 Ho 0.000 0.500 0.500
```


Record 7
The following is a DFT calculation (PBE) of crystalline Tb8Pm3Ho2 at its relaxed geometry.

Results
**Energy above the most stable polymorph in this dataset**: 0.00 eV per formula unit
**Volume**: 32.3 Å³ per atom

```
data_Tb8Pm3Ho2
_chemical_formula_sum 'Tb16 Pm6 Ho4'
_cell_length_a 20.815
_cell_length_b 5.053
_cell_length_c 8.006
_cell_angle_alpha 90.00
_cell_angle_beta 94.33
_cell_angle_gamma 90.00
_space_group_name_H-M_alt 'C 1 2/m 1'
_space_group_IT_number 12
loop_
_space_group_symop_operation_xyz
'x,y,z'
'-x,-y,-z'
'-x,y,-z'
'x,-y,z'
'x+1/2,y+1/2,z'
'-x+1/2,-y+1/2,-z'
'-x+1/2,y+1/2,-z'
'x+1/2,-y+1/2,z'
loop_
_atom_site_label
_atom_site_type_symbol
_atom_site_fract_x
_atom_site_fract_y
_atom_site_fract_z
Tb1 Tb 0.078 0.000 0.115
Tb2 Tb 0.117 0.500 0.422
Tb3 Tb 0.155 0.000 0.730
Tb4 Tb 0.193 0.500 0.039
Pm1 Pm 0.000 0.000 0.500
Pm2 Pm 0.039 0.500 0.807
Ho1 Ho 0.231 0.000 0.346
```


Record 8
The following is a DFT calculation (PBE) of crystalline TbPmHo4 at its relaxed geometry.

Results
**Energy above the most stable polymorph in this dataset**: 0.08 eV per formula unit
**Volume**: 31.6 Å³ per atom

```
data_TbPmHo4
_chemical_formula_sum 'Tb1 Pm1 Ho4'
_cell_length_a 3.552
_cell_length_b 6.147
_cell_length_c 9.379
_cell_angle_alpha 77.39
_cell_angle_beta 79.19
_cell_angle_gamma 73.40
_space_group_name_H-M_alt 'P -1'
_space_group_IT_number 2
loop_
_space_group_symop_operation_xyz
'x,y,z'
'-x,-y,-z'
loop_
_atom_site_label
_atom_site_type_symbol
_atom_site_fract_x
_atom_site_fract_y
_atom_site_fract_z
Tb1 Tb 0.000 0.000 0.000
Pm1 Pm 0.000 0.500 0.500
Ho1 Ho 0.332 0.002 0.332
Ho2 Ho 0.332 0.500 0.835
```


Record 9
The following is a DFT calculation (PBE) of crystalline Tb8PmHo4 at its relaxed geometry.

Results
**Volume**: 32.1 Å³ per atom

```
data_Tb8PmHo4
_chemical_formula_sum 'Tb24 Pm3 Ho12'
_cell_length_a 7.2862
_cell_length_b 7.2862
_cell_length_c 27.2637
_cell_angle_alpha 90.00
_cell_angle_beta 90.00
_cell_angle_gamma 120.00
_space_group_name_H-M_alt 'R -3 m'
_space_group_IT_number 166
_space_group_name_Hall '-R 3 2"'
loop_
_atom_site_label
_atom_site_type_symbol
_atom_site_fract_x
_atom_site_fract_y
_atom_site_fract_z
Tb1 Tb 0.0000 0.0000 0.2176
Tb2 Tb 0.0359 0.5179 0.7675
Pm1 Pm 0.0000 0.0000 0.5000
Ho1 Ho 0.0000 0.0000 0.0000
Ho2 Ho 0.0000 0.5000 0.0000
```


Record 10
The following is a DFT calculation (PBE) of crystalline TbPmHo4 at its relaxed geometry.

Results
**Energy above the most stable polymorph in this dataset**: 1.65 eV per formula unit
**Volume**: 33.5 Å³ per atom

```
data_TbPmHo4
_chemical_formula_sum 'Tb4 Pm4 Ho16'
_cell_length_a 9.296
_cell_length_b 9.296
_cell_length_c 9.296
_cell_angle_alpha 90.00
_cell_angle_beta 90.00
_cell_angle_gamma 90.00
_space_group_name_H-M_alt 'F -4 3 m'
_space_group_IT_number 216
_space_group_name_Hall 'F -4 2 3'
loop_
_atom_site_label
_atom_site_type_symbol
_atom_site_fract_x
_atom_site_fract_y
_atom_site_fract_z
Tb1 Tb 0.000 0.000 0.000
Pm1 Pm 0.250 0.250 0.250
Ho1 Ho 0.125 0.125 0.625
```


The following E_tot values (in hartree per atom) correspond, in order, to the records above: -0.169, -0.170, -0.170, -0.160, -0.142, -0.172, -0.170, -0.169, -0.163, -0.159.
The following ΔH_f (0 K) values (in meV/atom) correspond, in order, to the records above: 16, 17, 17, 294, 743, 7, 18, 19, 195, 281.
The following DOS(E_F) values (in states/eV/cell) correspond, in order, to the records above: 30.6, 11.3, 27.0, 96.6, 29.2, 16.7, 35.7, 8.1, 42.7, 50.5.